The following is a PBE calculation of HoGa3Ir2 after structural relaxation, from the Alexandria database.

Computed properties:
total DFT energy (no corrections): -210.83 eV per cell
M_tot: 0.00 Bohr magnetons per cell
energy of formation from the pure elements: -3.758 eV/f.u.
V: 17.784 A^3/atom

Cell lengths 16.8224, 3.9971, 9.7142 Å; angles 90.00, 101.43, 90.00 degrees
Last column: nearest neighbours and their distance in Å.
Space group C2/m (No. 12)
One atom of each set of equivalent atoms:
Ho 0.0000 0.0000 0.0000 x2  4 Ir 3.04, 10 Ga 3.30-3.38
Ho 0.1539 0.0000 0.7113 x4  4 Ga 2.99-3.07, 6 Ir 3.14-3.34
Ga 0.0000 0.5000 0.5000 x2  4 Ir 2.47-2.59
Ga 0.0576 0.0000 0.3446 x4  4 Ir 2.48-2.56
Ga 0.1408 0.5000 0.1950 x4  1 Ga 2.52, 4 Ir 2.56-2.68
Ga 0.1464 0.5000 0.9372 x4  4 Ir 2.49-2.60, 1 Ga 2.52
Ga 0.2259 0.0000 0.3741 x4  4 Ir 2.50-2.69, 1 Ga 2.79
Ir 0.0134 0.5000 0.7702 x4  5 Ga 2.48-2.68
Ir 0.1404 0.5000 0.4589 x4  7 Ga 2.47-2.69
Ir 0.2088 0.0000 0.0935 x4  6 Ga 2.51-2.68